A geometry-optimized Sn2As3 structure. Source: the Alexandria database, functional GGA-PBE.

Cell: 6.8285 6.8285 20.1022 Å, 90.00 90.00 120.00°
Space group R-3c (No. 167, hexagonal axes)
One atom of each set of equivalent atoms:
Sn  0.0000  0.0000  0.1355 (multiplicity 12)
As  0.0000  0.2579  0.2500 (multiplicity 18)

## Properties
The calculated formation energy comes out at 185 meV/atom. The value obtained for the density of states at the Fermi level is 2.5 states/eV/f.u. Its electronic total energy is -4.2054 eV per atom.



A geometry-optimized LiThZrNb structure. Source: the Alexandria database, functional GGA-PBE.

Cell: 7.057 7.057 7.057 Å, 90.00 90.00 90.00°
Space group F-43m (No. 216)
One atom of each set of equivalent atoms:
Li  0.000  0.000  0.000 (multiplicity 4)
Th  0.250  0.250  0.250 (multiplicity 4)
Zr  0.250  0.250  0.750 (multiplicity 4)
Nb  0.000  0.000  0.500 (multiplicity 4)

## Properties
The calculated formation energy comes out at 108 meV/atom. The value obtained for the density of states at the Fermi level is 0.4 states/eV/f.u. Its electronic total energy is -6.8794 eV per atom.



A geometry-optimized NdSmIrPt structure. Source: the Alexandria database, functional GGA-PBE.

Cell: 7.113 7.113 7.113 Å, 90.00 90.00 90.00°
Space group F-43m (No. 216)
One atom of each set of equivalent atoms:
Nd  0.000  0.000  0.000 (multiplicity 4)
Sm  0.000  0.000  0.500 (multiplicity 4)
Ir  0.250  0.250  0.250 (multiplicity 4)
Pt  0.250  0.250  0.750 (multiplicity 4)

## Properties
The value obtained for the distance to the lowest polymorph of the same formula is 6.03 kJ per mole of atoms. The calculated formation energy comes out at -846 meV/atom. The value obtained for the density of states at the Fermi level is 2.2 states/eV/f.u. Its electronic total energy is -6.9435 eV per atom.



A geometry-optimized RbAlCuPb2 structure. Source: the Alexandria database, functional GGA-PBE.

Cell: 6.311 6.311 5.222 Å, 90.00 90.00 90.00°
Space group P4/mmm (No. 123)
One atom of each set of equivalent atoms:
Rb  0.000  0.000  0.000 (multiplicity 1)
Al  0.500  0.500  0.500 (multiplicity 1)
Cu  0.000  0.000  0.500 (multiplicity 1)
Pb  0.000  0.500  0.000 (multiplicity 2)

## Properties
The calculated formation energy comes out at 1453 meV/atom. The value obtained for the density of states at the Fermi level is 5.7 states/eV/f.u. Its electronic total energy is -1.7919 eV per atom.